DFT (GGA-PBE) results for crystalline Tm2GaTc3 at its relaxed geometry.

a = 5.3100 Å, b = 5.3100 Å, c = 13.3708 Å
α = 90.00°, β = 90.00°, γ = 120.00°
With the nearest neighbours (Å) after each atom.
Space group R-3m (No. 166, hexagonal axes)
Inequivalent atoms, fractional coordinates:
Tm: 0.0000 0.0000 0.1216 (multiplicity 6)  9 Tc 3.11-3.22, 3 Ga 3.12, 4 Tm 3.25-3.29
Ga: 0.0000 0.0000 0.5000 (multiplicity 3)  6 Tc 2.70
Tc: 0.0000 0.5000 0.0000 (multiplicity 9)  4 Tc 2.65, 2 Ga 2.70

Calculated values
DOS at the Fermi energy = 4.20 states/eV/f.u.
ΔH_f (0 K) = -368.4 meV/atom
VASP energy = -135.83 eV/cell